# 1
Below is a relaxed structure of MnHgS2, with properties calculated at the PBE-GGA level.

The value obtained for the formation energy from raw total energies is 0.8 eV/f.u.

It has space group I4_1/amd (No. 141, origin choice 2), with a = 5.072 Å, b = 5.072 Å, c = 11.345 Å, α = 90.00°, β = 90.00° and γ = 90.00°. The asymmetric unit holds Mn at (0.000, 0.250, 0.375), Hg at (0.000, 0.250, 0.875) and S at (0.000, 0.250, 0.175).

# 2
Below is a relaxed structure of Ba2Li2PrSe4, with properties calculated at the PBE-GGA level.

The value obtained for the formation energy from raw total energies is -14.8 eV/f.u.

It has space group C2/m (No. 12), with a = 15.812 Å, b = 4.301 Å, c = 7.737 Å, α = 90.00°, β = 110.28° and γ = 90.00°. The asymmetric unit holds Ba at (0.133, 0.000, 0.058), Li at (0.181, 0.500, 0.495), Pr at (0.000, 0.000, 0.500), Se at (0.022, 0.500, 0.247) and Se at (0.207, 0.000, 0.697).

# 3
Below is a relaxed structure of Al2IrRu, with properties calculated at the PBE-GGA level.

As for the energy of formation from the pure elements: -1.76 eV/f.u.

It has space group P2/m (No. 10), with a = 2.818 Å, b = 4.036 Å, c = 5.066 Å, α = 90.00°, β = 93.57° and γ = 90.00°. The asymmetric unit holds Al at (0.227, 0.000, 0.247), Ir at (0.000, 0.500, 0.500) and Ru at (0.500, 0.500, 0.000).

no.,density (kg/m3)
1,7275
2,5015
3,10028